1.
A plane-wave DFT calculation with meta-GGA SCAN was carried out for a crystal of LiMnSb2 relaxed with PBEsol.

Results
magnetization = 7.9 Bohr magnetons per cell
ΔE_f (raw) = -232 meV per atom
raw total energy = -24.02 eV per atom

Cell: 3.3630 3.3630 24.2539 Å, 90.00 90.00 120.00°
Last column: nearest neighbours and their distance in Å.
Space group R-3m (No. 166, hexagonal axes)
Inequivalent atoms, fractional coordinates:
Li  0.0000  0.0000  0.0000 (multiplicity 3)  6 Sb 2.97
Mn  0.0000  0.0000  0.5000 (multiplicity 3)  6 Sb 2.64
Sb  0.0000  0.0000  0.2405 (multiplicity 6)  3 Mn 2.64

***

2.
A plane-wave DFT calculation with meta-GGA SCAN was carried out for a crystal of LiMnSb2 relaxed with PBEsol.

Results
magnetization = 8.1 Bohr magnetons per cell
ΔE_f (raw) = -185 meV per atom
raw total energy = -23.98 eV per atom

Cell: 6.4844 7.8164 3.1224 Å, 90.00 96.55 90.00°
Last column: nearest neighbours and their distance in Å.
Space group C2/m (No. 12)
Inequivalent atoms, fractional coordinates:
Li  0.0000  0.0000  0.0000 (multiplicity 2)  8 Sb 2.88-3.08, 2 Li 3.12
Mn  0.0000  0.5000  0.0000 (multiplicity 2)  8 Sb 2.88-3.08, 2 Mn 3.12
Sb  0.2500  0.2500  0.5000 (multiplicity 4)  4 Mn 2.88-3.08, 4 Li 2.88-3.08, 2 Sb 3.12

***

3.
A plane-wave DFT calculation with meta-GGA SCAN was carried out for a crystal of LiMnSb2 relaxed with PBEsol.

Results
magnetization = 3.6 Bohr magnetons per cell
ΔE_f (raw) = -166 meV per atom
raw total energy = -23.96 eV per atom

Cell: 3.7544 3.7544 5.4866 Å, 90.00 90.00 90.00°
Last column: nearest neighbours and their distance in Å.
Space group P4mm (No. 99)
Inequivalent atoms, fractional coordinates:
Li  0.0000  0.0000  0.0000 (multiplicity 1)  6 Sb 2.63-2.85
Mn  0.5000  0.5000  0.3306 (multiplicity 1)  6 Sb 2.69-2.79
Sb  0.0000  0.0000  0.4800 (multiplicity 1)  2 Li 2.63-2.85, 4 Mn 2.78
Sb  0.5000  0.5000  0.8398 (multiplicity 1)  2 Mn 2.69-2.79, 4 Li 2.80

***

4.
A plane-wave DFT calculation with meta-GGA SCAN was carried out for a crystal of Li2MnSb relaxed with PBEsol.

Results
magnetization = 4.3 Bohr magnetons per cell
ΔE_f (raw) = -213 meV per atom
raw total energy = -15.29 eV per atom

Cell: 3.0299 4.2360 5.4571 Å, 90.00 90.00 90.00°
Last column: nearest neighbours and their distance in Å.
Space group Pmmm (No. 47)
Inequivalent atoms, fractional coordinates:
Li  0.0000  0.0000  0.2497 (multiplicity 2)  4 Li 2.72-3.03, 4 Mn 2.94, 4 Sb 2.94
Mn  0.5000  0.5000  0.0000 (multiplicity 1)  2 Sb 2.73, 8 Li 2.94, 2 Mn 3.03
Sb  0.5000  0.5000  0.5000 (multiplicity 1)  2 Mn 2.73, 8 Li 2.94, 2 Sb 3.03

***

5.
A plane-wave DFT calculation with meta-GGA SCAN was carried out for a crystal of LiMn2Sb relaxed with PBEsol.

Results
magnetization = 24.2 Bohr magnetons per cell
ΔE_f (raw) = 193 meV per atom
raw total energy = -18.85 eV per atom

Cell: 3.0235 3.0235 26.9013 Å, 90.00 90.00 120.00°
Last column: nearest neighbours and their distance in Å.
Space group R-3m (No. 166, hexagonal axes)
Inequivalent atoms, fractional coordinates:
Li  0.0000  0.0000  0.0000 (multiplicity 3)  6 Mn 2.83, 6 Li 3.02
Mn  0.0000  0.0000  0.2505 (multiplicity 6)  3 Li 2.83, 3 Sb 2.85, 6 Mn 3.02
Sb  0.0000  0.0000  0.5000 (multiplicity 3)  6 Mn 2.85, 6 Sb 3.02

***

6.
A plane-wave DFT calculation with meta-GGA SCAN was carried out for a crystal of Li2MnSb relaxed with PBEsol.

Results
magnetization = 15.9 Bohr magnetons per cell
ΔE_f (raw) = -389 meV per atom
raw total energy = -15.46 eV per atom

Cell: 6.3655 6.3655 6.3655 Å, 90.00 90.00 90.00°
Last column: nearest neighbours and their distance in Å.
Space group F-43m (No. 216)
Inequivalent atoms, fractional coordinates:
Li  0.0000  0.0000  0.0000 (multiplicity 4)  4 Li 2.76, 4 Sb 2.76
Li  0.2500  0.2500  0.2500 (multiplicity 4)  4 Mn 2.76, 4 Li 2.76
Mn  0.0000  0.0000  0.5000 (multiplicity 4)  4 Sb 2.76, 4 Li 2.76
Sb  0.2500  0.2500  0.7500 (multiplicity 4)  4 Li 2.76, 4 Mn 2.76

***

The highest ΔE_f (raw) belongs to which entry? LiMn2Sb